[1]
Computed, not measured: a relaxed TlReF2 crystal at the PBE-GGA level of DFT.

Results
- Final energy: -4.8912 eV per atom
- Crystal system: tetragonal

Unit cell a=4.2205 b=4.2205 c=15.1634 alpha=90.00 beta=90.00 gamma=90.00
Last column: nearest neighbours and their distance in Å.
Positions (direct):
Tl 0.0000 0.0000 0.0000  4 F 2.69, 4 Re 2.98
Tl 0.0000 0.5000 0.2500  4 F 2.69, 4 Re 2.98
Tl 0.5000 0.0000 0.7500  4 F 2.69, 4 Re 2.98
Tl 0.5000 0.5000 0.5000  4 F 2.69, 4 Re 2.98
Re 0.0000 0.0000 0.5000  4 F 2.23
Re 0.0000 0.5000 0.7500  4 F 2.23
Re 0.5000 0.0000 0.2500  4 F 2.23
Re 0.5000 0.5000 0.0000  4 F 2.23
F 0.1234 0.2500 0.6250  2 Re 2.23, 2 F 2.35
F 0.2500 0.6234 0.8750  2 Re 2.23, 2 F 2.35
F 0.2500 0.8766 0.3750  2 Re 2.23, 2 F 2.35
F 0.3766 0.2500 0.1250  2 Re 2.23, 2 F 2.35
F 0.6234 0.7500 0.1250  2 Re 2.23, 2 F 2.35
F 0.7500 0.1234 0.3750  2 Re 2.23, 2 F 2.35
F 0.7500 0.3766 0.8750  2 Re 2.23, 2 F 2.35
F 0.8766 0.7500 0.6250  2 Re 2.23, 2 F 2.35



[2]
Computed, not measured: a relaxed Li2Pr2SnPd5 crystal at the PBE-GGA level of DFT.

Results
- Energy of formation from the pure elements: -630 kJ/mol of formula units
- Crystal system: tetragonal

Unit cell a=9.7582 b=9.7582 c=3.8239 alpha=90.00 beta=90.00 gamma=90.00
Last column: nearest neighbours and their distance in Å.
Positions (direct):
Li 0.1184 0.3816 0.0000  6 Pd 2.52-2.59, 1 Pr 2.80
Li 0.3816 0.8816 0.0000  6 Pd 2.52-2.59, 1 Pr 2.80
Li 0.6184 0.1184 0.0000  6 Pd 2.52-2.59, 1 Pr 2.80
Li 0.8816 0.6184 0.0000  6 Pd 2.52-2.59, 1 Pr 2.80
Pr 0.1784 0.6784 0.0000  3 Li 2.80-2.95, 2 Pd 3.12
Pr 0.3216 0.1784 0.0000  3 Li 2.80-2.95, 2 Pd 3.12
Pr 0.6784 0.8216 0.0000  3 Li 2.80-2.95, 2 Pd 3.12
Pr 0.8216 0.3216 0.0000  3 Li 2.80-2.95, 2 Pd 3.12
Sn 0.0000 0.0000 0.0000  8 Pd 2.88
Sn 0.5000 0.5000 0.0000  8 Pd 2.88
Pd 0.0000 0.5000 0.5000  4 Li 2.52
Pd 0.0661 0.2109 0.5000  2 Li 2.59, 2 Sn 2.88, 1 Pd 2.89
Pd 0.2109 0.9339 0.5000  2 Li 2.59, 2 Sn 2.88, 1 Pd 2.89
Pd 0.2891 0.4339 0.5000  2 Li 2.59, 2 Sn 2.88, 1 Pd 2.89
Pd 0.4339 0.7109 0.5000  2 Li 2.59, 2 Sn 2.88, 1 Pd 2.89
Pd 0.5000 0.0000 0.5000  4 Li 2.52
Pd 0.5661 0.2891 0.5000  2 Li 2.59, 2 Sn 2.88, 1 Pd 2.89
Pd 0.7109 0.5661 0.5000  2 Li 2.59, 2 Sn 2.88, 1 Pd 2.89
Pd 0.7891 0.0661 0.5000  2 Li 2.59, 2 Sn 2.88, 1 Pd 2.89
Pd 0.9339 0.7891 0.5000  2 Li 2.59, 2 Sn 2.88, 1 Pd 2.89



[3]
Computed, not measured: a relaxed La2CeNd2 crystal at the PBE-GGA level of DFT.

Results
- Energy of formation from the pure elements: 183 kJ/mol of formula units
- Crystal system: tetragonal

Unit cell a=4.6796 b=4.6796 c=16.7269 alpha=90.00 beta=90.00 gamma=90.00
Last column: nearest neighbours and their distance in Å.
Positions (direct):
La 0.0000 0.5000 0.2500  4 La 3.31, 4 Nd 3.52
La 0.0000 0.5000 0.7500  4 La 3.31, 4 Nd 3.52
La 0.5000 0.0000 0.2500  4 La 3.31, 4 Nd 3.52
La 0.5000 0.0000 0.7500  4 La 3.31, 4 Nd 3.52
Ce 0.0000 0.0000 0.0000  8 Nd 3.65
Ce 0.5000 0.5000 0.5000  8 Nd 3.65
Nd 0.0000 0.0000 0.4072  1 Nd 3.10
Nd 0.0000 0.0000 0.5928  1 Nd 3.10
Nd 0.5000 0.5000 0.0928  1 Nd 3.10
Nd 0.5000 0.5000 0.9072  1 Nd 3.10



[4]
Computed, not measured: a relaxed Li4TmNp3S8 crystal at the PBE-GGA level of DFT.

Results
- Final energy: -6.7232 eV per atom
- Crystal system: trigonal

Unit cell a=7.6326 b=7.6326 c=7.6326 alpha=61.68 beta=61.68 gamma=61.68
Last column: nearest neighbours and their distance in Å.
Positions (direct):
Li 0.0000 0.0000 0.0000  6 S 2.75
Li 0.0000 0.5000 0.5000  6 S 2.71-2.73
Li 0.5000 0.0000 0.5000  6 S 2.71-2.73
Li 0.5000 0.5000 0.0000  6 S 2.71-2.73
Tm 0.5000 0.5000 0.5000  6 S 2.72
Np 0.0000 0.0000 0.5000  6 S 2.74-2.75
Np 0.0000 0.5000 0.0000  6 S 2.74-2.75
Np 0.5000 0.0000 0.0000  6 S 2.74-2.75
S 0.2503 0.2503 0.2503  3 Li 2.73, 3 Np 2.74
S 0.2514 0.2514 0.7452  3 Li 2.71-2.75, 1 Tm 2.72, 2 Np 2.75
S 0.2514 0.7452 0.2514  3 Li 2.71-2.75, 1 Tm 2.72, 2 Np 2.75
S 0.2548 0.7486 0.7486  3 Li 2.71-2.75, 1 Tm 2.72, 2 Np 2.75
S 0.7452 0.2514 0.2514  3 Li 2.71-2.75, 1 Tm 2.72, 2 Np 2.75
S 0.7486 0.2548 0.7486  3 Li 2.71-2.75, 1 Tm 2.72, 2 Np 2.75
S 0.7486 0.7486 0.2548  3 Li 2.71-2.75, 1 Tm 2.72, 2 Np 2.75
S 0.7497 0.7497 0.7497  3 Li 2.73, 3 Np 2.74



[5]
Computed, not measured: a relaxed Tb2Pm3Th crystal at the PBE-GGA level of DFT.

Results
- Energy of formation from the pure elements: 21 kJ/mol of formula units
- Crystal system: orthorhombic

Unit cell a=9.5551 b=9.5551 c=9.5551 alpha=148.99 beta=115.31 gamma=73.47
Last column: nearest neighbours and their distance in Å.
Positions (direct):
Tb 0.0838 0.3338 0.7500  8 Pm 3.61-3.65, 4 Tb 3.62-3.63
Tb 0.2523 0.0023 0.2500  8 Pm 3.56-3.68, 2 Th 3.61, 2 Tb 3.63
Tb 0.7477 0.9977 0.7500  8 Pm 3.56-3.68, 2 Th 3.61, 2 Tb 3.63
Tb 0.9162 0.6662 0.2500  8 Pm 3.61-3.65, 4 Tb 3.62-3.63
Pm 0.0000 0.5000 0.5000  6 Tb 3.61, 4 Pm 3.62, 2 Th 3.63
Pm 0.1726 0.1678 0.0049  3 Th 3.54-3.58, 5 Tb 3.56-3.68, 4 Pm 3.59-3.62
Pm 0.3371 0.8322 0.5049  3 Th 3.54-3.58, 5 Tb 3.56-3.68, 4 Pm 3.59-3.62
Pm 0.5000 0.5000 0.0000  6 Tb 3.61, 4 Pm 3.62, 2 Th 3.63
Pm 0.6629 0.1678 0.4951  3 Th 3.54-3.58, 5 Tb 3.56-3.68, 4 Pm 3.59-3.62
Pm 0.8274 0.8322 0.9951  3 Th 3.54-3.58, 5 Tb 3.56-3.68, 4 Pm 3.59-3.62
Th 0.4185 0.6685 0.7500  8 Pm 3.54-3.63, 2 Th 3.57, 2 Tb 3.61
Th 0.5815 0.3315 0.2500  8 Pm 3.54-3.63, 2 Th 3.57, 2 Tb 3.61



[6]
Computed, not measured: a relaxed TlCdRhAu crystal at the PBE-GGA level of DFT.

Results
- Energy of formation from the pure elements: 29 kJ/mol of formula units
- Crystal system: cubic

Unit cell a=6.7109 b=6.7109 c=6.7109 alpha=90.00 beta=90.00 gamma=90.00
Last column: nearest neighbours and their distance in Å.
Positions (direct):
Tl 0.0000 0.0000 0.0000  4 Rh 2.91, 4 Au 2.91
Tl 0.0000 0.5000 0.5000  4 Rh 2.91, 4 Au 2.91
Tl 0.5000 0.0000 0.5000  4 Rh 2.91, 4 Au 2.91
Tl 0.5000 0.5000 0.0000  4 Rh 2.91, 4 Au 2.91
Cd 0.0000 0.0000 0.5000  4 Rh 2.91, 4 Au 2.91
Cd 0.0000 0.5000 0.0000  4 Rh 2.91, 4 Au 2.91
Cd 0.5000 0.0000 0.0000  4 Rh 2.91, 4 Au 2.91
Cd 0.5000 0.5000 0.5000  4 Rh 2.91, 4 Au 2.91
Rh 0.2500 0.2500 0.7500  4 Cd 2.91, 4 Tl 2.91
Rh 0.2500 0.7500 0.2500  4 Cd 2.91, 4 Tl 2.91
Rh 0.7500 0.2500 0.2500  4 Cd 2.91, 4 Tl 2.91
Rh 0.7500 0.7500 0.7500  4 Cd 2.91, 4 Tl 2.91
Au 0.2500 0.2500 0.2500  4 Cd 2.91, 4 Tl 2.91
Au 0.2500 0.7500 0.7500  4 Cd 2.91, 4 Tl 2.91
Au 0.7500 0.2500 0.7500  4 Cd 2.91, 4 Tl 2.91
Au 0.7500 0.7500 0.2500  4 Cd 2.91, 4 Tl 2.91



[7]
Computed, not measured: a relaxed YCrSn crystal at the PBE-GGA level of DFT.

Results
- Energy of formation from the pure elements: -19 kJ/mol of formula units
- Crystal system: monoclinic

Unit cell a=10.3153 b=4.5934 c=6.3120 alpha=90.00 beta=98.56 gamma=90.00
Last column: nearest neighbours and their distance in Å.
Positions (direct):
Y 0.1168 0.0000 0.2732  5 Sn 3.02-3.26, 4 Cr 3.09-3.23
Y 0.3832 0.5000 0.7268  5 Sn 3.02-3.26, 4 Cr 3.09-3.23
Y 0.6168 0.5000 0.2732  5 Sn 3.02-3.26, 4 Cr 3.09-3.23
Y 0.8832 0.0000 0.7268  5 Sn 3.02-3.26, 4 Cr 3.09-3.23
Cr 0.0800 0.5000 0.9427  1 Cr 1.90
Cr 0.4200 0.0000 0.0573  1 Cr 1.90
Cr 0.5800 0.0000 0.9427  1 Cr 1.90
Cr 0.9200 0.5000 0.0573  1 Cr 1.90
Sn 0.1793 0.0000 0.7826  3 Cr 2.77-2.81, 1 Y 3.02
Sn 0.3207 0.5000 0.2174  3 Cr 2.77-2.81, 1 Y 3.02
Sn 0.6793 0.5000 0.7826  3 Cr 2.77-2.81, 1 Y 3.02
Sn 0.8207 0.0000 0.2174  3 Cr 2.77-2.81, 1 Y 3.02



[8]
Computed, not measured: a relaxed Hf2CdHg crystal at the PBE-GGA level of DFT.

Results
- Energy of formation from the pure elements: 15 kJ/mol of formula units
- Crystal system: tetragonal

Unit cell a=3.4888 b=3.4888 c=6.9542 alpha=90.00 beta=90.00 gamma=90.00
Last column: nearest neighbours and their distance in Å.
Positions (direct):
Hf 0.0000 0.0000 0.2490  4 Hg 3.01, 4 Cd 3.02
Hf 0.0000 0.0000 0.7510  4 Hg 3.01, 4 Cd 3.02
Cd 0.5000 0.5000 0.5000  8 Hf 3.02
Hg 0.5000 0.5000 0.0000  8 Hf 3.01